# PrGd2Mg3Tl2Hg | OQMD via LeMat-Bulk | GGA-PBE | relaxed
data_PrGd2Mg3Tl2Hg
_chemical_formula_sum 'Pr2 Gd4 Mg6 Tl4 Hg2'
_cell_length_a 4.673
_cell_length_b 13.290
_cell_length_c 7.572
_cell_angle_alpha 90.00
_cell_angle_beta 90.00
_cell_angle_gamma 90.00
_space_group_name_H-M_alt 'A m m 2'
_space_group_IT_number 38
_space_group_name_Hall 'A 2 -2'
loop_
_atom_site_label
_atom_site_type_symbol
_atom_site_fract_x
_atom_site_fract_y
_atom_site_fract_z
Pr1 Pr 0.000 0.000 0.000
Gd1 Gd 0.000 0.209 0.627
Mg1 Mg 0.500 0.000 0.658
Mg2 Mg 0.500 0.119 0.301
Tl1 Tl 0.500 0.170 0.917
Hg1 Hg 0.000 0.000 0.427
# ρ, Mg/m³: 8.03
# VASP energy, eV per atom: -3.03